1.
Below is a relaxed HoAl2Ir2 crystal, with properties calculated at the PBE-GGA level.

Lattice parameters (Å, degrees): 4.2204 4.2204 10.1303 90.00 90.00 90.00
Closest atoms and distances in Å follow each position.
Fractional coordinates of all 10 atoms:
Ho (0.5000, 0.0000, 0.2653)  8 Ir 3.18-3.26, 8 Al 3.19-3.42
Ho (0.0000, 0.5000, 0.7347)  8 Ir 3.18-3.26, 8 Al 3.19-3.42
Ir (0.0000, 0.0000, 0.5000)  4 Al 2.46
Ir (0.5000, 0.0000, 0.8652)  5 Al 2.44-2.51
Ir (0.0000, 0.5000, 0.1348)  5 Al 2.44-2.51
Ir (0.5000, 0.5000, 0.5000)  4 Al 2.46
Al (0.5000, 0.5000, 0.0000)  4 Ir 2.51
Al (0.0000, 0.5000, 0.3760)  5 Ir 2.44-2.46
Al (0.0000, 0.0000, 0.0000)  4 Ir 2.51
Al (0.5000, 0.0000, 0.6240)  5 Ir 2.44-2.46

Properties
Theoretical density, g/cm³: 11.10
Magnetization, μB per formula unit: 0.00
Final energy, eV/atom: -6.855
Density of states at the Fermi level, states/eV/f.u.: 2.50
Symmetry: P4/nmm, No. 129

***

2.
Below is a relaxed HoAlIr2 crystal, with properties calculated at the PBE-GGA level.

Lattice parameters (Å, degrees): 3.4627 4.4059 4.4059 90.00 90.00 90.00
Closest atoms and distances in Å follow each position.
Fractional coordinates of all 4 atoms:
Ir (0.0000, 0.5000, 0.0000)  4 Al 2.80, 4 Ho 2.80, 4 Ir 3.12
Ir (0.0000, 0.0000, 0.5000)  4 Ho 2.80, 4 Al 2.80, 4 Ir 3.12
Al (0.5000, 0.0000, 0.0000)  8 Ir 2.80, 4 Ho 3.12
Ho (0.5000, 0.5000, 0.5000)  8 Ir 2.80, 4 Al 3.12

Properties
Theoretical density, g/cm³: 14.24
Magnetization, μB per formula unit: 0.00
Final energy, eV/atom: -7.276
Density of states at the Fermi level, states/eV/f.u.: 0.70
Symmetry: P4/mmm, No. 123

***

3.
Below is a relaxed Ho4AlIr crystal, with properties calculated at the PBE-GGA level.

Lattice parameters (Å, degrees): 9.5018 9.5018 9.5018 60.00 60.00 60.00
Closest atoms and distances in Å follow each position.
Fractional coordinates of all 24 atoms:
Al (0.1721, 0.1721, 0.1721)  3 Al 2.96, 3 Ho 3.28
Al (0.1721, 0.1721, 0.4836)  3 Al 2.96, 3 Ho 3.28
Al (0.4836, 0.1721, 0.1721)  3 Al 2.96, 3 Ho 3.28
Al (0.1721, 0.4836, 0.1721)  3 Al 2.96, 3 Ho 3.28
Ho (0.1882, 0.8118, 0.8118)  2 Al 3.28, 10 Ho 3.42-3.58, 2 Ir 3.42
Ho (0.8118, 0.1882, 0.8118)  2 Al 3.28, 10 Ho 3.42-3.58, 2 Ir 3.42
Ho (0.8118, 0.8118, 0.1882)  2 Al 3.28, 10 Ho 3.42-3.58, 2 Ir 3.42
Ho (0.3983, 0.3983, 0.8051)  3 Ir 2.83
Ho (0.1882, 0.1882, 0.8118)  2 Al 3.28, 10 Ho 3.42-3.58, 2 Ir 3.42
Ho (0.5546, 0.9454, 0.5546)  2 Ir 2.78
Ho (0.9454, 0.9454, 0.5546)  2 Ir 2.78
Ho (0.3983, 0.8051, 0.3983)  3 Ir 2.83
Ho (0.5546, 0.9454, 0.9454)  2 Ir 2.78
Ho (0.1882, 0.8118, 0.1882)  2 Al 3.28, 10 Ho 3.42-3.58, 2 Ir 3.42
Ho (0.8051, 0.3983, 0.3983)  3 Ir 2.83
Ho (0.5546, 0.5546, 0.9454)  2 Ir 2.78
Ho (0.8118, 0.1882, 0.1882)  2 Al 3.28, 10 Ho 3.42-3.58, 2 Ir 3.42
Ho (0.3983, 0.3983, 0.3983)  3 Ir 2.83
Ho (0.9454, 0.5546, 0.5546)  2 Ir 2.78
Ho (0.9454, 0.5546, 0.9454)  2 Ir 2.78
Ir (0.6088, 0.6088, 0.1737)  6 Ho 2.78-2.83
Ir (0.6088, 0.1737, 0.6088)  6 Ho 2.78-2.83
Ir (0.6088, 0.6088, 0.6088)  6 Ho 2.78-2.83
Ir (0.1737, 0.6088, 0.6088)  6 Ho 2.78-2.83

Properties
Theoretical density, g/cm³: 9.62
Magnetization, μB per formula unit: 0.00
Final energy, eV/atom: -5.710
Density of states at the Fermi level, states/eV/f.u.: 3.45
Symmetry: F-43m, No. 216

***

4.
Below is a relaxed Ho3AlIr3 crystal, with properties calculated at the PBE-GGA level.

Lattice parameters (Å, degrees): 4.0979 5.5196 13.7175 90.00 90.00 111.79
Closest atoms and distances in Å follow each position.
Fractional coordinates of all 14 atoms:
Ir (0.2335, 0.4669, 0.2500)  2 Ir 2.69, 5 Ho 2.89-2.92
Ir (0.9146, 0.8293, 0.9119)  2 Al 2.53, 1 Ir 2.69
Ir (0.7665, 0.5331, 0.7500)  2 Ir 2.69, 5 Ho 2.89-2.92
Ir (0.0854, 0.1707, 0.4119)  2 Al 2.53, 1 Ir 2.69
Ir (0.0854, 0.1707, 0.0881)  2 Al 2.53, 1 Ir 2.69
Ir (0.9146, 0.8293, 0.5881)  2 Al 2.53, 1 Ir 2.69
Ho (0.2035, 0.4070, 0.8937)  6 Ir 2.92-2.99
Ho (0.4841, 0.9683, 0.7500)  7 Ir 2.89-3.10
Ho (0.2035, 0.4070, 0.6063)  6 Ir 2.92-2.99
Ho (0.5159, 0.0317, 0.2500)  7 Ir 2.89-3.10
Ho (0.7965, 0.5930, 0.3937)  6 Ir 2.92-2.99
Ho (0.7965, 0.5930, 0.1063)  6 Ir 2.92-2.99
Al (0.5000, 0.0000, 0.5000)  4 Ir 2.53
Al (0.5000, 0.0000, 0.0000)  4 Ir 2.53

Properties
Theoretical density, g/cm³: 12.66
Magnetization, μB per formula unit: 0.00
Final energy, eV/atom: -7.210
Density of states at the Fermi level, states/eV/f.u.: 3.92
Symmetry: Cmcm, No. 63

***

5.
Below is a relaxed HoAl2Ir2 crystal, with properties calculated at the PBE-GGA level.

Lattice parameters (Å, degrees): 4.1468 4.1468 10.9136 100.95 100.95 90.00
Closest atoms and distances in Å follow each position.
Fractional coordinates of all 10 atoms:
Al (0.1871, 0.1871, 0.3743)  5 Ir 2.46-2.47
Al (0.5000, 0.0000, 0.0000)  4 Ir 2.54
Al (0.8129, 0.8129, 0.6257)  5 Ir 2.46-2.47
Al (0.0000, 0.5000, 0.0000)  4 Ir 2.54
Ir (0.0698, 0.0698, 0.1396)  5 Al 2.47-2.54
Ir (0.9302, 0.9302, 0.8604)  5 Al 2.47-2.54
Ir (0.7500, 0.2500, 0.5000)  4 Al 2.46
Ir (0.2500, 0.7500, 0.5000)  4 Al 2.46
Ho (0.3666, 0.3666, 0.7331)  8 Al 3.14-3.49, 8 Ir 3.21-3.22
Ho (0.6334, 0.6334, 0.2669)  8 Al 3.14-3.49, 8 Ir 3.21-3.22

Properties
Theoretical density, g/cm³: 11.08
Magnetization, μB per formula unit: 0.00
Final energy, eV/atom: -6.831
Density of states at the Fermi level, states/eV/f.u.: 2.60
Symmetry: I4/mmm, No. 139

***

6.
Below is a relaxed Ho8Al2Ir crystal, with properties calculated at the PBE-GGA level.

Lattice parameters (Å, degrees): 4.9914 6.5518 9.5995 103.97 105.07 90.00
Closest atoms and distances in Å follow each position.
Fractional coordinates of all 11 atoms:
Ho (0.7870, 0.6910, 0.5740)  3 Al 3.05-3.20, 2 Ho 3.33
Ho (0.0230, 0.7832, 0.0461)  2 Ir 2.95, 1 Al 3.08, 1 Ho 3.16
Ho (0.6492, 0.9751, 0.2985)  1 Ir 2.81, 3 Al 3.06-3.14
Ho (0.9770, 0.2168, 0.9539)  2 Ir 2.95, 1 Al 3.08, 1 Ho 3.16
Ho (0.2130, 0.3090, 0.4260)  3 Al 3.05-3.20, 2 Ho 3.33
Ho (0.4090, 0.5532, 0.8180)  1 Ir 2.99
Ho (0.5910, 0.4468, 0.1820)  1 Ir 2.99
Ho (0.3508, 0.0249, 0.7015)  1 Ir 2.81, 3 Al 3.06-3.14
Ir (0.5000, 0.0000, 0.0000)  8 Ho 2.81-2.99
Al (0.8141, 0.2509, 0.6282)  9 Ho 3.05-3.39
Al (0.1859, 0.7491, 0.3718)  9 Ho 3.05-3.39

Properties
Theoretical density, g/cm³: 8.86
Magnetization, μB per formula unit: 0.00
Final energy, eV/atom: -5.138
Density of states at the Fermi level, states/eV/f.u.: 10.58
Symmetry: C2/m, No. 12

***

7.
Below is a relaxed HoAlIr crystal, with properties calculated at the PBE-GGA level.

Lattice parameters (Å, degrees): 7.0157 7.0157 6.7676 107.25 107.25 115.34
Closest atoms and distances in Å follow each position.
Fractional coordinates of all 12 atoms:
Ho (0.6250, 0.3750, 0.2500)  4 Ir 2.88-3.21, 2 Al 3.18
Ho (0.6250, 0.8750, 0.2500)  4 Ir 2.88-3.21, 2 Al 3.18
Ho (0.6250, 0.3750, 0.7500)  4 Ir 2.88-3.21, 2 Al 3.18
Ho (0.1250, 0.3750, 0.7500)  4 Ir 2.88-3.21, 2 Al 3.18
Al (0.1238, 0.6238, 0.2476)  4 Ir 2.49-2.55
Al (0.3762, 0.8762, 0.7524)  4 Ir 2.49-2.55
Al (0.8738, 0.8738, 0.7476)  4 Ir 2.49-2.55
Al (0.1262, 0.1262, 0.2524)  4 Ir 2.49-2.55
Ir (0.8212, 0.1788, 0.0000)  4 Al 2.49-2.55
Ir (0.0712, 0.9288, 0.5000)  4 Al 2.49-2.55
Ir (0.4288, 0.5712, 0.5000)  4 Al 2.49-2.55
Ir (0.1788, 0.8212, 0.0000)  4 Al 2.49-2.55

Properties
Theoretical density, g/cm³: 10.18
Magnetization, μB per formula unit: 0.00
Final energy, eV/atom: -6.405
Density of states at the Fermi level, states/eV/f.u.: 1.37
Symmetry: Fddd, No. 70

***

8.
Below is a relaxed Ho8AlIr2 crystal, with properties calculated at the PBE-GGA level.

Lattice parameters (Å, degrees): 5.3992 7.8463 7.8463 112.80 97.65 97.65
Closest atoms and distances in Å follow each position.
Fractional coordinates of all 11 atoms:
Ho (0.4214, 0.9346, 0.6759)  2 Ir 2.86-2.91
Ho (0.4214, 0.6759, 0.9346)  2 Ir 2.86-2.91
Ho (0.5784, 0.3301, 0.0715)  2 Ir 2.86-2.91
Ho (0.0000, 0.2472, 0.7587)  2 Ir 2.84
Ho (0.0000, 0.7587, 0.2472)  2 Ir 2.84
Ho (0.5784, 0.0715, 0.3301)  2 Ir 2.86-2.91
Ho (0.1959, 0.3836, 0.3836)  2 Ir 3.00, 1 Al 3.22, 3 Ho 3.30-3.35
Ho (0.8042, 0.6230, 0.6230)  2 Ir 3.00, 1 Al 3.22, 3 Ho 3.30-3.35
Ir (0.5000, 0.6914, 0.3146)  8 Ho 2.84-3.00
Ir (0.5000, 0.3146, 0.6914)  8 Ho 2.84-3.00
Al (0.0000, 0.0033, 0.0033)  4 Ho 3.19-3.22

Properties
Theoretical density, g/cm³: 9.66
Magnetization, μB per formula unit: 0.00
Final energy, eV/atom: -5.682
Density of states at the Fermi level, states/eV/f.u.: 11.39
Symmetry: C2/m, No. 12

***

9.
Below is a relaxed LiHoAlIr crystal, with properties calculated at the PBE-GGA level.

Lattice parameters (Å, degrees): 4.6096 4.6096 4.6096 60.00 60.00 60.00
Closest atoms and distances in Å follow each position.
Fractional coordinates of all 4 atoms:
Ir (0.5000, 0.5000, 0.5000)  4 Ho 2.82, 4 Al 2.82
Ho (0.7500, 0.7500, 0.7500)  4 Ir 2.82, 4 Li 2.82
Li (0.0000, 0.0000, 0.0000)  4 Al 2.82, 4 Ho 2.82
Al (0.2500, 0.2500, 0.2500)  4 Ir 2.82, 4 Li 2.82

Properties
Theoretical density, g/cm³: 9.38
Magnetization, μB per formula unit: 0.00
Final energy, eV/atom: -5.380
Density of states at the Fermi level, states/eV/f.u.: 3.69
Symmetry: F-43m, No. 216

***

10.
Below is a relaxed HoLuAlIr crystal, with properties calculated at the PBE-GGA level.

Lattice parameters (Å, degrees): 4.9072 4.9072 4.9072 60.00 60.00 60.00
Closest atoms and distances in Å follow each position.
Fractional coordinates of all 4 atoms:
Ho (0.7500, 0.7500, 0.7500)  4 Al 3.01, 4 Ir 3.01
Al (0.5000, 0.5000, 0.5000)  4 Lu 3.01, 4 Ho 3.01
Lu (0.2500, 0.2500, 0.2500)  4 Ir 3.01, 4 Al 3.01
Ir (0.0000, 0.0000, 0.0000)  4 Ho 3.01, 4 Lu 3.01

Properties
Theoretical density, g/cm³: 11.11
Magnetization, μB per formula unit: 0.00
Final energy, eV/atom: -6.042
Density of states at the Fermi level, states/eV/f.u.: 2.90
Symmetry: F-43m, No. 216